Here is crystalline MnRhO2F at its relaxed geometry from the Alexandria database. Energies are from PBE+U.

Structure (extended XYZ):
```
5
Lattice="3.903 0.000 0.000 0.000 3.903 0.000 0.000 0.000 3.805" Properties=species:S:1:pos:R:3 pbc="T T T"
Mn 0.000 0.000 0.000
Rh 1.951 1.951 1.902
O 0.000 1.951 0.000
O 1.951 0.000 0.000
F 0.000 0.000 1.902
```

Energy (eV/atom): -5.872